(1)
# Pr4GePtI2

Pr4GePtI2 after structural relaxation (GGA-PBE, Alexandria via LeMat-Bulk).

a = 7.832 Å, b = 4.267 Å, c = 8.163 Å
α = 90.00°, β = 107.11°, γ = 90.00°
Space group P2/m (No. 10)
One atom of each set of equivalent atoms:
Pr  0.218  0.000  0.189 [2 per cell]
Pr  0.266  0.500  0.798 [2 per cell]
Ge  0.500  0.000  0.000 [1 per cell]
Pt  0.000  0.500  0.000 [1 per cell]
I  0.000  0.000  0.500 [1 per cell]
I  0.500  0.500  0.500 [1 per cell]

## Properties
As for the uncorrected formation energy: -1.03 eV per atom. The magnetization comes out at 0.000 μB/f.u. The value obtained for the electronic total energy is -5.137 eV per atom.

(2)
# RbPrGe2I8

RbPrGe2I8 after structural relaxation (GGA-PBE, Alexandria via LeMat-Bulk).

a = 7.441 Å, b = 7.878 Å, c = 10.060 Å
α = 82.94°, β = 83.58°, γ = 84.02°
Space group P-1 (No. 2)
One atom of each set of equivalent atoms:
Rb  0.000  0.000  0.000 [1 per cell]
Pr  0.000  0.000  0.500 [1 per cell]
Ge  0.448  0.465  0.237 [2 per cell]
I  0.230  0.326  0.466 [2 per cell]
I  0.257  0.833  0.718 [2 per cell]
I  0.265  0.831  0.275 [2 per cell]
I  0.273  0.374  0.037 [2 per cell]

## Properties
As for the uncorrected formation energy: -0.82 eV per atom. The magnetization comes out at 0.000 μB/f.u. The value obtained for the electronic total energy is -3.099 eV per atom.

(3)
# Pr4GeRhI2

Pr4GeRhI2 after structural relaxation (GGA-PBE, Alexandria via LeMat-Bulk).

a = 7.729 Å, b = 4.244 Å, c = 8.255 Å
α = 90.00°, β = 106.38°, γ = 90.00°
Space group P2/m (No. 10)
One atom of each set of equivalent atoms:
Pr  0.220  0.000  0.188 [2 per cell]
Pr  0.255  0.500  0.809 [2 per cell]
Ge  0.500  0.000  0.000 [1 per cell]
Rh  0.000  0.500  0.000 [1 per cell]
I  0.000  0.000  0.500 [1 per cell]
I  0.500  0.500  0.500 [1 per cell]

## Properties
As for the uncorrected formation energy: -0.93 eV per atom. The magnetization comes out at 0.000 μB/f.u. The value obtained for the electronic total energy is -5.200 eV per atom.

(4)
# Pr8Ge3RhI4

Pr8Ge3RhI4 after structural relaxation (GGA-PBE, Alexandria via LeMat-Bulk).

a = 8.7649 Å, b = 8.7649 Å, c = 23.2869 Å
α = 90.00°, β = 90.00°, γ = 120.00°
Space group R-3m (No. 166, hexagonal axes)
One atom of each set of equivalent atoms:
Pr  0.0000  0.0000  0.2343 [6 per cell]
Pr  0.0102  0.5051  0.2316 [18 per cell]
Ge  0.0000  0.5000  0.5000 [9 per cell]
Rh  0.0000  0.0000  0.5000 [3 per cell]
I  0.0000  0.0000  0.0000 [3 per cell]
I  0.0000  0.5000  0.0000 [9 per cell]

## Properties
As for the uncorrected formation energy: -0.97 eV per atom. The magnetization comes out at 0.000 μB/f.u. The value obtained for the electronic total energy is -5.073 eV per atom.

(5)
# Pr8GeRh3I4

Pr8GeRh3I4 after structural relaxation (GGA-PBE, Alexandria via LeMat-Bulk).

a = 8.5751 Å, b = 8.5751 Å, c = 24.2657 Å
α = 90.00°, β = 90.00°, γ = 120.00°
Space group R-3m (No. 166, hexagonal axes)
One atom of each set of equivalent atoms:
Pr  0.0000  0.0000  0.2301 [6 per cell]
Pr  0.0122  0.5061  0.7711 [18 per cell]
Ge  0.0000  0.0000  0.5000 [3 per cell]
Rh  0.0000  0.5000  0.5000 [9 per cell]
I  0.0000  0.0000  0.0000 [3 per cell]
I  0.0000  0.5000  0.0000 [9 per cell]

## Properties
As for the uncorrected formation energy: -0.91 eV per atom. The magnetization comes out at 0.000 μB/f.u. The value obtained for the electronic total energy is -5.350 eV per atom.

(6)
# Pr6GeRh2I3

Pr6GeRh2I3 after structural relaxation (GGA-PBE, Alexandria via LeMat-Bulk).

a = 7.445 Å, b = 12.888 Å, c = 8.435 Å
α = 90.00°, β = 107.17°, γ = 90.00°
Space group C2/m (No. 12)
One atom of each set of equivalent atoms:
Pr  0.217  0.000  0.190 [4 per cell]
Pr  0.236  0.327  0.191 [8 per cell]
Ge  0.000  0.500  0.000 [2 per cell]
Rh  0.000  0.167  0.000 [4 per cell]
I  0.000  0.000  0.500 [2 per cell]
I  0.000  0.338  0.500 [4 per cell]

## Properties
As for the uncorrected formation energy: -0.91 eV per atom. The magnetization comes out at 0.000 μB/f.u. The value obtained for the electronic total energy is -5.296 eV per atom.

(7)
# Pr6GeRu2I3

Pr6GeRu2I3 after structural relaxation (GGA-PBE, Alexandria via LeMat-Bulk).

a = 7.420 Å, b = 12.861 Å, c = 8.464 Å
α = 90.00°, β = 107.17°, γ = 90.00°
Space group C2/m (No. 12)
One atom of each set of equivalent atoms:
Pr  0.212  0.000  0.188 [4 per cell]
Pr  0.237  0.324  0.189 [8 per cell]
Ge  0.000  0.500  0.000 [2 per cell]
Ru  0.000  0.167  0.000 [4 per cell]
I  0.000  0.000  0.500 [2 per cell]
I  0.000  0.337  0.500 [4 per cell]

## Properties
As for the uncorrected formation energy: -0.75 eV per atom. The magnetization comes out at 0.000 μB/f.u. The value obtained for the electronic total energy is -5.456 eV per atom.

(8)
# Pr6Ge2SI3

Pr6Ge2SI3 after structural relaxation (GGA-PBE, Alexandria via LeMat-Bulk).

a = 7.461 Å, b = 12.927 Å, c = 8.200 Å
α = 90.00°, β = 107.69°, γ = 90.00°
Space group C2/m (No. 12)
One atom of each set of equivalent atoms:
Pr  0.228  0.164  0.194 [8 per cell]
Pr  0.239  0.500  0.195 [4 per cell]
Ge  0.000  0.334  0.000 [4 per cell]
S  0.000  0.000  0.000 [2 per cell]
I  0.000  0.170  0.500 [4 per cell]
I  0.000  0.500  0.500 [2 per cell]

## Properties
As for the uncorrected formation energy: -1.20 eV per atom. The magnetization comes out at 0.000 μB/f.u. The value obtained for the electronic total energy is -5.095 eV per atom.

(9)
# Pr6Ge3S2I

Pr6Ge3S2I after structural relaxation (GGA-PBE, Alexandria via LeMat-Bulk).

a = 18.764 Å, b = 4.319 Å, c = 8.669 Å
α = 90.00°, β = 102.81°, γ = 90.00°
Space group C2/m (No. 12)
One atom of each set of equivalent atoms:
Pr  0.003  0.000  0.275 [4 per cell]
Pr  0.167  0.500  0.585 [4 per cell]
Pr  0.177  0.500  0.089 [4 per cell]
Ge  0.000  0.500  0.500 [2 per cell]
Ge  0.163  0.000  0.833 [4 per cell]
S  0.169  0.000  0.335 [4 per cell]
I  0.000  0.500  0.000 [2 per cell]

## Properties
As for the uncorrected formation energy: -1.28 eV per atom. The magnetization comes out at 0.000 μB/f.u. The value obtained for the electronic total energy is -5.640 eV per atom.

(10)
# Pr8Ge3SI4

Pr8Ge3SI4 after structural relaxation (GGA-PBE, Alexandria via LeMat-Bulk).

a = 8.6568 Å, b = 8.6568 Å, c = 23.3872 Å
α = 90.00°, β = 90.00°, γ = 120.00°
Space group R-3m (No. 166, hexagonal axes)
One atom of each set of equivalent atoms:
Pr  0.0000  0.0000  0.2334 [6 per cell]
Pr  0.0077  0.5039  0.2317 [18 per cell]
Ge  0.0000  0.5000  0.5000 [9 per cell]
S  0.0000  0.0000  0.5000 [3 per cell]
I  0.0000  0.0000  0.0000 [3 per cell]
I  0.0000  0.5000  0.0000 [9 per cell]

## Properties
As for the uncorrected formation energy: -1.16 eV per atom. The magnetization comes out at 0.000 μB/f.u. The value obtained for the electronic total energy is -5.061 eV per atom.

(11)
# Pr8Ge3SbI4

Pr8Ge3SbI4 after structural relaxation (GGA-PBE, Alexandria via LeMat-Bulk).

a = 8.8793 Å, b = 8.8793 Å, c = 23.2819 Å
α = 90.00°, β = 90.00°, γ = 120.00°
Space group R-3m (No. 166, hexagonal axes)
One atom of each set of equivalent atoms:
Pr  0.0000  0.0000  0.2328 [6 per cell]
Pr  0.0157  0.5078  0.7658 [18 per cell]
Ge  0.0000  0.5000  0.5000 [9 per cell]
Sb  0.0000  0.0000  0.5000 [3 per cell]
I  0.0000  0.0000  0.0000 [3 per cell]
I  0.0000  0.5000  0.0000 [9 per cell]

## Properties
As for the uncorrected formation energy: -1.05 eV per atom. The magnetization comes out at 0.000 μB/f.u. The value obtained for the electronic total energy is -4.955 eV per atom.

(12)
# Pr4GeSbI2

Pr4GeSbI2 after structural relaxation (GGA-PBE, Alexandria via LeMat-Bulk).

a = 7.833 Å, b = 4.464 Å, c = 8.130 Å
α = 90.00°, β = 108.38°, γ = 90.00°
Space group P2/m (No. 10)
One atom of each set of equivalent atoms:
Pr  0.217  0.000  0.202 [2 per cell]
Pr  0.245  0.500  0.793 [2 per cell]
Ge  0.000  0.500  0.000 [1 per cell]
Sb  0.500  0.000  0.000 [1 per cell]
I  0.000  0.000  0.500 [1 per cell]
I  0.500  0.500  0.500 [1 per cell]

## Properties
As for the uncorrected formation energy: -1.07 eV per atom. The magnetization comes out at 0.000 μB/f.u. The value obtained for the electronic total energy is -4.940 eV per atom.